1.
! Na2PdPtPb, relaxed, DFT GGA-PBEsol; values from VASP
! - energy (eV per cell) = -17.75
! - D(E_F) (states/eV per cell) = 2.1
! - DFT formation energy (eV/atom) = 0.39
&SYSTEM
  ibrav = 0, nat = 5, ntyp = 4
/
ATOMIC_SPECIES
Pd 106.42 Pd.upf
Na 22.99 Na.upf
Pt 195.08 Pt.upf
Pb 207.20 Pb.upf
CELL_PARAMETERS angstrom
5.108 0.000 0.000
0.000 5.124 0.000
0.000 0.000 5.124
ATOMIC_POSITIONS crystal
Pd 0.500 0.500 0.500
Na 0.000 0.000 0.500
Pt 0.000 0.000 0.000
Pb 0.500 0.000 0.000
Na 0.000 0.500 0.000

***

2.
! Na2PtPb2, relaxed, DFT GGA-PBEsol; values from VASP
! - energy (eV per cell) = -36.66
! - D(E_F) (states/eV per cell) = 4.5
! - DFT formation energy (eV/atom) = -0.11
&SYSTEM
  ibrav = 0, nat = 10, ntyp = 3
/
ATOMIC_SPECIES
Na 22.99 Na.upf
Pt 195.08 Pt.upf
Pb 207.20 Pb.upf
CELL_PARAMETERS angstrom
5.166 0.000 0.000
0.000 7.102 0.000
0.000 0.000 7.102
ATOMIC_POSITIONS crystal
Na 0.500 0.672 0.828
Na 0.500 0.828 0.328
Pt 0.000 0.500 0.500
Pb 0.000 0.149 0.351
Na 0.500 0.328 0.172
Pt 0.000 0.000 0.000
Pb 0.000 0.649 0.149
Pb 0.000 0.351 0.851
Pb 0.000 0.851 0.649
Na 0.500 0.172 0.672

***

3.
! RbNa3Pb, relaxed, DFT GGA-PBEsol; values from VASP
! - energy (eV per cell) = -9.49
! - D(E_F) (states/eV per cell) = 1.8
! - DFT formation energy (eV/atom) = -0.05
&SYSTEM
  ibrav = 0, nat = 5, ntyp = 3
/
ATOMIC_SPECIES
Rb 85.47 Rb.upf
Pb 207.20 Pb.upf
Na 22.99 Na.upf
CELL_PARAMETERS angstrom
-0.218 5.665 -2.080
-5.680 -0.896 -1.846
-2.041 1.889 5.360
ATOMIC_POSITIONS crystal
Rb 0.500 0.500 0.500
Pb 0.000 0.000 0.000
Na 0.000 0.500 0.000
Na 0.000 0.000 0.500
Na 0.500 0.000 0.000

***

The highest energy belongs to which entry? RbNa3Pb